No. 1
## OsPt3Rh4 (PBE)

Data for an optimized crystal structure of OsPt3Rh4.

The symmetry is P2/m (10). The value obtained for the formation energy is 7.30 kcal/mol of atoms. The calculation puts the total moment at 0.000 μB/atom.

abc: 4.373 2.702 10.841
angles: 90.00 97.34 90.00
Atoms (fractional coordinates):
Os (0.000, 0.000, 0.000)
Pt (0.296, 0.000, 0.682)
Pt (0.500, 0.500, 0.000)
Pt (0.704, 0.000, 0.318)
Rh (0.173, 0.500, 0.203)
Rh (0.232, 0.500, 0.439)
Rh (0.768, 0.500, 0.561)
Rh (0.827, 0.500, 0.797)

No. 2
## Li2Ag2Hg3 (PBE)

Data for an optimized crystal structure of Li2Ag2Hg3.

The symmetry is Cmmm (65). The value obtained for the formation energy is -3.34 kcal/mol of atoms. The calculation puts the total moment at 0.000 μB/atom. For the distance to the lowest polymorph of the same formula, the calculation gives 5 kJ/mol of formula units.

abc: 3.511 23.577 3.308
angles: 90.00 90.00 90.00
Atoms (fractional coordinates):
Li (0.000, 0.069, 0.000)
Li (0.000, 0.931, 0.000)
Li (0.500, 0.431, 0.000)
Li (0.500, 0.569, 0.000)
Ag (0.000, 0.204, 0.000)
Ag (0.000, 0.796, 0.000)
Ag (0.500, 0.296, 0.000)
Ag (0.500, 0.704, 0.000)
Hg (0.000, 0.367, 0.500)
Hg (0.000, 0.500, 0.500)
Hg (0.000, 0.633, 0.500)
Hg (0.500, 0.000, 0.500)
Hg (0.500, 0.133, 0.500)
Hg (0.500, 0.867, 0.500)